No. 1
Here is a relaxed DyBiTeO6 crystal from the Alexandria database. Energies are from PBE.

abc: 5.639 5.639 9.613
angles: 90.00 90.00 120.00
Fractional positions:
Dy1 0.333 0.667 0.250
Dy2 0.667 0.333 0.750
Bi1 0.000 0.000 0.000
Bi2 0.000 0.000 0.500
Te1 0.333 0.667 0.750
Te2 0.667 0.333 0.250
O1 0.042 0.380 0.636
O2 0.042 0.662 0.864
O3 0.338 0.380 0.864
O4 0.338 0.958 0.636
O5 0.380 0.042 0.136
O6 0.380 0.338 0.364
O7 0.620 0.662 0.636
O8 0.620 0.958 0.864
O9 0.662 0.042 0.364
O10 0.662 0.620 0.136
O11 0.958 0.338 0.136
O12 0.958 0.620 0.364

Results
spin magnetization = 0.0 μB/cell
space-group type = P-31c (163)
VASP energy = -115.02 eV per cell
formation energy from raw total energies = -1793 meV/atom
crystal system = trigonal


No. 2
Here is a relaxed Dy2BiTeO8 crystal from the Alexandria database. Energies are from PBE.

abc: 5.031 5.031 6.900
angles: 90.00 90.00 92.04
Fractional positions:
Dy1 0.000 0.000 0.241
Dy2 0.000 0.000 0.759
Bi1 0.500 0.500 0.500
Te1 0.500 0.500 0.000
O1 0.189 0.189 0.500
O2 0.222 0.222 0.000
O3 0.317 0.683 0.214
O4 0.317 0.683 0.786
O5 0.683 0.317 0.214
O6 0.683 0.317 0.786
O7 0.778 0.778 0.000
O8 0.811 0.811 0.500

Results
spin magnetization = 0.0 μB/cell
space-group type = Cmmm (65)
VASP energy = -80.91 eV per cell
formation energy from raw total energies = -2085 meV/atom
crystal system = orthorhombic


No. 3
Here is a relaxed Dy4TlBi3O12 crystal from the Alexandria database. Energies are from PBE.

abc: 7.434 7.434 7.434
angles: 109.47 109.47 109.47
Fractional positions:
Dy1 0.000 0.000 0.500
Dy2 0.000 0.500 0.000
Dy3 0.500 0.000 0.000
Dy4 0.500 0.500 0.500
Tl1 0.000 0.000 0.000
Bi1 0.000 0.500 0.500
Bi2 0.500 0.000 0.500
Bi3 0.500 0.500 0.000
O1 0.126 0.316 0.810
O2 0.190 0.506 0.316
O3 0.190 0.874 0.684
O4 0.316 0.190 0.506
O5 0.316 0.810 0.126
O6 0.494 0.684 0.810
O7 0.506 0.316 0.190
O8 0.684 0.190 0.874
O9 0.684 0.810 0.494
O10 0.810 0.126 0.316
O11 0.810 0.494 0.684
O12 0.874 0.684 0.190

Results
spin magnetization = 1.8 μB/cell
space-group type = Im-3 (204)
VASP energy = -134.97 eV per cell
formation energy from raw total energies = -2153 meV/atom
crystal system = cubic


No. 4
Here is a relaxed Dy2Tl2BiO6 crystal from the Alexandria database. Energies are from PBE.

abc: 6.051 6.051 6.870
angles: 98.86 98.86 119.79
Fractional positions:
Dy1 0.165 0.835 0.000
Dy2 0.835 0.165 0.000
Tl1 0.329 0.671 0.500
Tl2 0.671 0.329 0.500
Bi1 0.500 0.500 0.000
O1 0.107 0.444 0.829
O2 0.231 0.231 0.171
O3 0.444 0.107 0.829
O4 0.556 0.893 0.171
O5 0.769 0.769 0.829
O6 0.893 0.556 0.171

Results
spin magnetization = 0.0 μB/cell
space-group type = C2/m (12)
VASP energy = -69.17 eV per cell
formation energy from raw total energies = -1964 meV/atom
crystal system = monoclinic


No. 5
Here is a relaxed DyTmBiO2 crystal from the Alexandria database. Energies are from PBE.

abc: 7.276 7.276 7.276
angles: 149.23 149.23 44.07
Fractional positions:
Dy1 0.000 0.000 0.000
Tm1 0.338 0.338 0.000
Bi1 0.670 0.670 0.000
O1 0.416 0.916 0.500
O2 0.916 0.416 0.500

Results
spin magnetization = 0.0 μB/cell
space-group type = I4mm (107)
VASP energy = -36.39 eV per cell
formation energy from raw total energies = -2703 meV/atom
crystal system = tetragonal


No. 6
Here is a relaxed DyUBiO6 crystal from the Alexandria database. Energies are from PBE.

abc: 5.844 5.844 9.536
angles: 90.00 90.00 120.00
Fractional positions:
Dy1 0.333 0.667 0.250
Dy2 0.667 0.333 0.750
U1 0.333 0.667 0.750
U2 0.667 0.333 0.250
Bi1 0.000 0.000 0.000
Bi2 0.000 0.000 0.500
O1 0.023 0.362 0.636
O2 0.023 0.661 0.864
O3 0.339 0.362 0.864
O4 0.339 0.977 0.636
O5 0.362 0.023 0.136
O6 0.362 0.339 0.364
O7 0.638 0.661 0.636
O8 0.638 0.977 0.864
O9 0.661 0.023 0.364
O10 0.661 0.638 0.136
O11 0.977 0.339 0.136
O12 0.977 0.638 0.364

Results
spin magnetization = 0.0 μB/cell
space-group type = P-31c (163)
VASP energy = -147.68 eV per cell
formation energy from raw total energies = -2702 meV/atom
crystal system = trigonal